VASP calculation (GGA-PBE) on crystalline KTh3P4N12 at its relaxed geometry.

Calculated values
As for the symmetry: No. 155. As for the crystal system: trigonal. Its uncorrected formation energy is -58.4 kJ per mole of atoms.

a = 7.2303 Å, b = 7.2303 Å, c = 7.2303 Å
α = 102.43°, β = 102.43°, γ = 102.43°
Site moments in Bohr magnetons follow the coordinates.
Fractional coordinates of all 20 atoms:
Th 0.5437 0.4563 0.0000  0.05
N 0.6073 0.7934 0.0137  0.25
K 0.0000 0.0000 0.0000  0.00
N 0.0993 0.9007 0.5000  0.14
N 0.5000 0.0993 0.9007  0.14
Th 0.4563 0.0000 0.5437  0.05
P 0.5000 0.9595 0.0405  -0.02
P 0.9595 0.0405 0.5000  -0.02
N 0.3590 0.6410 0.5000  0.06
P 0.0405 0.5000 0.9595  -0.02
N 0.2066 0.3927 0.9863  0.25
P 0.5000 0.5000 0.5000  0.00
N 0.6410 0.5000 0.3590  0.06
N 0.5000 0.3590 0.6410  0.06
N 0.7934 0.0137 0.6073  0.25
Th 0.0000 0.5437 0.4563  0.05
N 0.0137 0.6073 0.7934  0.25
N 0.9007 0.5000 0.0993  0.14
N 0.9863 0.2066 0.3927  0.25
N 0.3927 0.9863 0.2066  0.25



VASP calculation (GGA-PBE) on crystalline Ba2TlInSe4 at its relaxed geometry.

Calculated values
As for the symmetry: No. 74. As for the crystal system: orthorhombic. Its uncorrected formation energy is -106.9 kJ per mole of atoms.

a = 9.0874 Å, b = 9.0874 Å, c = 9.0389 Å
α = 119.82°, β = 119.82°, γ = 89.48°
Fractional coordinates of all 16 atoms:
Se 0.7891 0.2099 0.9995
Se 0.2497 0.2502 0.0125
Se 0.2901 0.7109 0.5005
Ba 0.5000 0.0000 0.5000
Se 0.7503 0.7498 0.9875
Ba 0.0000 0.0000 0.5000
Tl 0.0000 0.5000 0.5000
Se 0.7099 0.2891 0.4995
Ba 0.5000 0.0000 0.0000
Se 0.2109 0.7901 0.0005
In 0.5000 0.5000 0.5000
Se 0.7502 0.7497 0.5125
Ba 0.5000 0.5000 0.0000
Se 0.2498 0.2503 0.4875
Tl 0.0000 0.5000 0.0000
In 0.0000 0.0000 0.0000



VASP calculation (GGA-PBE) on crystalline Fe8OsW3 at its relaxed geometry.

Calculated values
As for the symmetry: No. 156. As for the crystal system: trigonal. As for the formation energy: -0.02 eV/atom.

a = 4.6605 Å, b = 4.6605 Å, c = 7.7098 Å
α = 90.00°, β = 90.00°, γ = 120.00°
Site moments in Bohr magnetons follow the coordinates.
Fractional coordinates of all 12 atoms:
Fe 0.9943 0.4972 0.7497  1.21
W 0.6667 0.3333 0.4405  -0.16
Fe 0.3333 0.6667 0.5005  0.29
Os 0.0000 0.0000 0.5636  0.07
Fe 0.3333 0.6667 0.0015  0.20
Fe 0.6733 0.8366 0.2500  1.23
Fe 0.1634 0.3267 0.2500  1.23
W 0.0000 0.0000 0.9261  -0.23
Fe 0.5028 0.0057 0.7497  1.21
Fe 0.1634 0.8366 0.2500  1.23
Fe 0.5028 0.4972 0.7497  1.21
W 0.6667 0.3333 0.0687  -0.18



Q: Which V values were calculated for the entries above? A: 17.33 33.31 12.09, in Å³ per atom.